# 1
TiIn2FeO6: relaxed, PBE with a Hubbard U.

a b c (Å): 5.3693 5.3902 5.7500
angles (deg): 61.44 61.39 60.48
Last column: magnetic moment on the atom in μB.
Atoms (fractional coordinates):
Ti: 0.3145 0.3097 0.0626  0.06
In: 0.5246 0.5232 0.4264  0.00
In: 0.0284 0.0248 0.9188  0.01
Fe: 0.8077 0.8111 0.5733  3.75
O: 0.5823 0.2179 0.2445  0.01
O: 0.2058 0.9521 0.2534  0.01
O: 0.9577 0.5827 0.2415  0.01
O: 0.4318 0.6958 0.7599  0.03
O: 0.6902 0.1187 0.7677  0.02
O: 0.1187 0.4257 0.7670  0.02

=====

# 2
TiIn2FeO: relaxed, PBE with a Hubbard U.

a b c (Å): 4.9028 4.1046 4.9028
angles (deg): 90.00 90.00 90.00
Atoms (fractional coordinates):
Ti: 0.0000 0.5000 0.0000
Fe: 0.0000 0.0000 0.0000
O: 0.5000 0.5000 0.5000
In: 0.0000 0.0000 0.5000
In: 0.5000 0.0000 0.0000

=====

# 3
Tl2InFeO4: relaxed, PBE with a Hubbard U.

a b c (Å): 5.9841 6.8304 10.4656
angles (deg): 82.81 73.39 64.02
Last column: magnetic moment on the atom in μB.
Atoms (fractional coordinates):
Tl: 0.1721 0.0000 0.6558  0.00
Tl: 0.8279 0.0000 0.3442  0.00
Tl: 0.5779 0.5000 0.8442  0.00
Tl: 0.9221 0.5000 0.1558  0.00
In: 0.7500 0.5000 0.5000  0.03
In: 0.0000 0.0000 0.0000  0.03
Fe: 0.2500 0.5000 0.5000  3.11
Fe: 0.5000 0.0000 0.0000  3.11
O: 0.3794 0.7843 0.0048  -0.04
O: 0.1685 0.2157 0.9952  -0.04
O: 0.8363 0.7843 0.9952  -0.04
O: 0.6158 0.2157 0.0048  -0.04
O: 0.3706 0.7157 0.4952  -0.04
O: 0.5815 0.2843 0.5048  -0.04
O: 0.9137 0.7157 0.5048  -0.04
O: 0.1342 0.2843 0.4952  -0.04

=====

# 4
TmIn2FeO6: relaxed, PBE with a Hubbard U.

a b c (Å): 5.4914 5.4914 5.8274
angles (deg): 61.89 61.89 60.00
Last column: magnetic moment on the atom in μB.
Atoms (fractional coordinates):
Tm: 0.8087 0.8086 0.5741  0.06
In: 0.5269 0.5269 0.4194  0.01
In: 0.0225 0.0225 0.9324  0.01
Fe: 0.3155 0.3155 0.0536  4.34
O: 0.5959 0.2138 0.2484  0.08
O: 0.2138 0.9418 0.2484  0.08
O: 0.9418 0.5960 0.2484  0.08
O: 0.4133 0.6987 0.7635  0.07
O: 0.6987 0.1245 0.7635  0.07
O: 0.1245 0.4133 0.7635  0.07

=====

# 5
UInFe2O6: relaxed, PBE with a Hubbard U.

a b c (Å): 4.2334 6.0581 6.0581
angles (deg): 90.00 90.00 90.00
Last column: magnetic moment on the atom in μB.
Atoms (fractional coordinates):
U: 0.6793 0.0000 0.0000  -0.91
In: 0.6559 0.5000 0.5000  0.00
Fe: 0.8835 0.5000 0.0000  3.75
Fe: 0.8835 0.0000 0.5000  3.75
O: 0.7452 0.2460 0.2460  0.06
O: 0.7452 0.2460 0.7540  0.06
O: 0.1729 0.5000 0.5000  0.03
O: 0.1911 0.0000 0.0000  0.04
O: 0.7452 0.7540 0.7540  0.06
O: 0.7452 0.7540 0.2460  0.06

=====

# 6
ZrInFe2O6: relaxed, PBE with a Hubbard U.

a b c (Å): 5.4075 5.3647 5.7207
angles (deg): 62.66 61.90 59.93
Last column: magnetic moment on the atom in μB.
Atoms (fractional coordinates):
Zr: 0.3121 0.3084 0.0672  0.02
In: 0.8100 0.8058 0.5764  0.01
Fe: 0.5227 0.5231 0.4299  3.79
Fe: 0.0204 0.0181 0.9428  4.33
O: 0.6150 0.2212 0.2452  0.09
O: 0.2126 0.9267 0.2390  0.09
O: 0.9248 0.6245 0.2390  0.09
O: 0.3941 0.7261 0.7519  0.12
O: 0.7324 0.1170 0.7619  0.12
O: 0.1174 0.3907 0.7620  0.13

=====

no.,final energy (eV per cell),spin magnetization (μB/cell)
1,-68.11,4.00
2,-19.52,0.00
3,-80.30,5.94
4,-65.55,4.97
5,-72.01,7.06
6,-72.29,9.00